[1]
This record from the Alexandria database describes an optimized crystal structure of RbAgIBr6. The functional is PBE-GGA.

Structure (CIF):
```
data_RbAgIBr6
_space_group_name_H-M_alt 'C 1 2 1'
_space_group_IT_number 5
_cell_length_a 13.713
_cell_length_b 11.699
_cell_length_c 4.946
_cell_angle_alpha 90.00
_cell_angle_beta 108.90
_cell_angle_gamma 90.00
loop_
_space_group_symop_operation_xyz
'x,y,z'
'-x,y,-z'
'x+1/2,y+1/2,z'
'-x+1/2,y+1/2,-z'
loop_
_atom_site_label
_atom_site_type_symbol
_atom_site_fract_x
_atom_site_fract_y
_atom_site_fract_z
_atom_site_occupancy
Rb1 Rb 0.000 0.000 0.000 1
Ag1 Ag 0.000 0.695 0.500 1
I1 I 0.000 0.349 0.500 1
Br1 Br 0.140 0.848 0.631 1
Br2 Br 0.141 0.530 0.658 1
Br3 Br 0.145 0.189 0.661 1
```

Results
Its formation energy from raw total energies is -0.45 eV/atom. The calculation puts the density of states at the Fermi level at 5.0 states/eV per cell. Its calculated total energy is -39.0 eV/cell.

[2]
This record from the Alexandria database describes an optimized crystal structure of RbAg2IBr8. The functional is PBE-GGA.

Structure (CIF):
```
data_RbAg2IBr8
_space_group_name_H-M_alt 'P -1'
_space_group_IT_number 2
_cell_length_a 7.764
_cell_length_b 7.787
_cell_length_c 8.949
_cell_angle_alpha 98.24
_cell_angle_beta 94.42
_cell_angle_gamma 92.30
loop_
_space_group_symop_operation_xyz
'x,y,z'
'-x,-y,-z'
loop_
_atom_site_label
_atom_site_type_symbol
_atom_site_fract_x
_atom_site_fract_y
_atom_site_fract_z
_atom_site_occupancy
Rb1 Rb 0.000 0.000 0.000 1
Ag1 Ag 0.492 0.746 0.489 1
I1 I 0.000 0.500 0.000 1
Br1 Br 0.113 0.729 0.251 1
Br2 Br 0.296 0.333 0.035 1
Br3 Br 0.327 0.513 0.615 1
Br4 Br 0.332 0.010 0.620 1
```

Results
Its formation energy from raw total energies is -0.37 eV/atom. The calculation puts the density of states at the Fermi level at 6.8 states/eV per cell. Its calculated total energy is -26.1 eV/cell.

[3]
This record from the Alexandria database describes an optimized crystal structure of Rb4AgI2Br. The functional is PBE-GGA.

Structure (CIF):
```
data_Rb4AgI2Br
_space_group_name_H-M_alt 'P 1 2/m 1'
_space_group_IT_number 10
_cell_length_a 8.986
_cell_length_b 5.175
_cell_length_c 9.014
_cell_angle_alpha 90.00
_cell_angle_beta 109.30
_cell_angle_gamma 90.00
loop_
_space_group_symop_operation_xyz
'x,y,z'
'-x,-y,-z'
'-x,y,-z'
'x,-y,z'
loop_
_atom_site_label
_atom_site_type_symbol
_atom_site_fract_x
_atom_site_fract_y
_atom_site_fract_z
_atom_site_occupancy
Rb1 Rb 0.239 0.000 0.240 1
Rb2 Rb 0.243 0.500 0.754 1
Ag1 Ag 0.000 0.000 0.500 1
I1 I 0.500 0.000 0.000 1
I2 I 0.500 0.500 0.500 1
Br1 Br 0.000 0.500 0.000 1
```

Results
Its formation energy from raw total energies is -1.14 eV/atom. The calculation puts the density of states at the Fermi level at 0.0 states/eV per cell. Its calculated total energy is -20.6 eV/cell.

Number 1: M_tot 0.105 μB per atom. Number 2: M_tot 0.087 μB per atom. Number 3: M_tot 0.000 μB per atom.